# 1
LiTiIn | PBE | relaxed

V = 55 Å³/f.u.
ΔE_f = -107 meV/atom
Magnetic moment = 0.00 μB per atom
Total DFT energy (no corrections) = -4.29 eV per atom
Energy above the lowest structure with this stoichiometry = 66 meV per atom

Cell lengths 3.2865, 3.2865, 10.2011 Å; angles 90.00, 90.00, 90.00 degrees
With the nearest neighbours (Å) after each atom.
Space group P4mm (No. 99)
Asymmetric unit:
Li 0.0000 0.0000 0.0000 x1  4 In 2.79, 4 Ti 2.93
Li 0.0000 0.0000 0.3273 x1  8 In 2.88-2.93
Ti 0.0000 0.0000 0.6711 x1  4 Ti 2.80, 4 In 2.94
Ti 0.5000 0.5000 0.8249 x1  4 Ti 2.80, 4 Li 2.93
In 0.5000 0.5000 0.1519 x1  8 Li 2.79-2.93
In 0.5000 0.5000 0.4946 x1  4 Li 2.88, 4 Ti 2.94



# 2
Pm2MnFe2Co5 | PBE | relaxed

V = 152 Å³/f.u.
ΔE_f = 128 meV/atom
Magnetic moment = 1.40 μB per atom
Total DFT energy (no corrections) = -6.98 eV per atom

Cell lengths 9.5834, 9.5834, 3.3093 Å; angles 90.00, 90.00, 90.00 degrees
With the nearest neighbours (Å) after each atom.
Space group P4/mbm (No. 127)
Asymmetric unit:
Pm 0.1790 0.3210 0.0000 x4  3 Fe 2.70-2.94, 2 Co 2.94
Mn 0.0000 0.0000 0.0000 x2  8 Co 2.62
Fe 0.1220 0.6220 0.0000 x4  6 Co 2.34-2.43
Co 0.0000 0.5000 0.5000 x2  4 Fe 2.34
Co 0.0581 0.7966 0.5000 x8  2 Fe 2.43, 2 Mn 2.62



# 3
BaZn11Ni | PBE | relaxed

V = 220 Å³/f.u.
ΔE_f = -116 meV/atom
Magnetic moment = 0.00 μB per atom
Total DFT energy (no corrections) = -1.79 eV per atom

Cell lengths 5.0365, 13.1574, 7.0486 Å; angles 90.00, 109.86, 90.00 degrees
With the nearest neighbours (Å) after each atom.
Space group C2/m (No. 12)
Asymmetric unit:
Ba 0.0000 0.0000 0.0000 x2  18 Zn 3.32-3.52, 2 Ni 3.57
Zn 0.0000 0.0000 0.5000 x2  2 Ni 2.52, 8 Zn 2.65-2.77
Zn 0.1115 0.3842 0.2444 x8  1 Ni 2.56, 6 Zn 2.65-2.83
Zn 0.1856 0.1743 0.3624 x8  8 Zn 2.66-2.92, 1 Ni 2.77
Zn 0.2500 0.2500 0.0000 x4  6 Zn 2.52-2.72
Ni 0.0000 0.5000 0.5000 x2  10 Zn 2.52-2.77



# 4
YAlOs4 | PBE | relaxed

V = 102 Å³/f.u.
ΔE_f = 54 meV/atom
Magnetic moment = 0.00 μB per atom
Total DFT energy (no corrections) = -9.13 eV per atom

Cell lengths 7.4250, 7.4250, 7.4250 Å; angles 90.00, 90.00, 90.00 degrees
With the nearest neighbours (Å) after each atom.
Space group F-43m (No. 216)
Asymmetric unit:
Y 0.0000 0.0000 0.0000 x4  12 Os 3.08, 4 Al 3.22
Al 0.2500 0.2500 0.7500 x4  12 Os 3.08, 4 Y 3.22
Os 0.1244 0.1244 0.3756 x16  6 Os 2.61-2.64



# 5
Cd2AgCl | PBE | relaxed

V = 95 Å³/f.u.
Magnetic moment = 0.00 μB per atom
Total DFT energy (no corrections) = -1.78 eV per atom
Energy above the lowest structure with this stoichiometry = 114 meV per atom
ΔE_f (raw) = -0.149 eV/atom

Cell lengths 3.3380, 6.1970, 9.2186 Å; angles 90.00, 90.00, 90.00 degrees
With the nearest neighbours (Å) after each atom.
Space group Immm (No. 71)
Asymmetric unit:
Cd 0.0000 0.0000 0.2483 x4  2 Ag 2.83, 2 Cl 2.86
Ag 0.0000 0.5000 0.5000 x2  4 Cd 2.83
Cl 0.0000 0.5000 0.0000 x2  4 Cd 2.86



# 6
MgTcRu2 | PBE | relaxed

V = 60 Å³/f.u.
ΔE_f = 269 meV/atom
Magnetic moment = 0.00 μB per atom
Total DFT energy (no corrections) = -7.36 eV per atom

Cell lengths 2.9203, 4.5935, 8.9248 Å; angles 90.00, 90.00, 90.00 degrees
With the nearest neighbours (Å) after each atom.
Space group Cmmm (No. 65)
Asymmetric unit:
Mg 0.0000 0.0000 0.0000 x2  4 Ru 2.71, 6 Mg 2.72-2.92
Tc 0.0000 0.0000 0.5000 x2  4 Ru 2.62, 6 Tc 2.72-2.92
Ru 0.0000 0.5000 0.2560 x4  2 Tc 2.62, 2 Mg 2.71, 6 Ru 2.72-2.92



Please write out number 4 again, unchanged.
YAlOs4 | PBE | relaxed

V = 102 Å³/f.u.
ΔE_f = 54 meV/atom
Magnetic moment = 0.00 μB per atom
Total DFT energy (no corrections) = -9.13 eV per atom

Cell lengths 7.4250, 7.4250, 7.4250 Å; angles 90.00, 90.00, 90.00 degrees
With the nearest neighbours (Å) after each atom.
Space group F-43m (No. 216)
Asymmetric unit:
Y 0.0000 0.0000 0.0000 x4  12 Os 3.08, 4 Al 3.22
Al 0.2500 0.2500 0.7500 x4  12 Os 3.08, 4 Y 3.22
Os 0.1244 0.1244 0.3756 x16  6 Os 2.61-2.64



- magnetic moment of number 4 (YAlOs4)?
  0.00 μB per atom